The following is a PBE-GGA calculation of an optimized crystal structure of KTl2SnCl5, from the Alexandria database.

## Properties
Electronic total energy (eV/cell): -119.7
Calculated volume (A^3/atom): 35.31
Uncorrected formation energy (meV/atom): -1206.9
Theoretical density (kg/m³): 3887

CIF file:
```
data_KTl2SnCl5
_chemical_formula_sum 'K4 Tl8 Sn4 Cl20'
_space_group_name_H-M_alt 'C m c 21'
_space_group_IT_number 36
_cell_length_a 4.985
_cell_length_b 16.930
_cell_length_c 15.060
_cell_angle_alpha 90.00
_cell_angle_beta 90.00
_cell_angle_gamma 90.00
loop_
_space_group_symop_operation_xyz
'x,y,z'
'-x,-y,z+1/2'
'-x,y,z'
'x,-y,z+1/2'
'x+1/2,y+1/2,z'
'-x+1/2,-y+1/2,z+1/2'
'-x+1/2,y+1/2,z'
'x+1/2,-y+1/2,z+1/2'
loop_
_atom_site_label
_atom_site_fract_x
_atom_site_fract_y
_atom_site_fract_z
K1 0.000 0.241 0.000
Tl1 0.000 0.339 0.254
Tl2 0.000 0.386 0.745
Sn1 0.000 0.029 0.490
Cl1 0.000 0.079 0.115
Cl2 0.000 0.088 0.869
Cl3 0.000 0.191 0.371
Cl4 0.000 0.239 0.645
Cl5 0.000 0.425 0.054
```



The following is a PBE-GGA calculation of an optimized crystal structure of Be2POs, from the Alexandria database.

## Properties
Electronic total energy (eV/cell): -24.4
Calculated volume (A^3/atom): 10.69
Formation energy (eV/atom): -0.073
Theoretical density (kg/m³): 9292

CIF file:
```
data_Be2POs
_chemical_formula_sum 'Be2 P1 Os1'
_space_group_name_H-M_alt 'P 4 m m'
_space_group_IT_number 99
_cell_length_a 2.959
_cell_length_b 2.959
_cell_length_c 4.884
_cell_angle_alpha 90.00
_cell_angle_beta 90.00
_cell_angle_gamma 90.00
loop_
_space_group_symop_operation_xyz
'x,y,z'
'-y,x,z'
'-x,-y,z'
'y,-x,z'
'-x,y,z'
'y,x,z'
'x,-y,z'
'-y,-x,z'
loop_
_atom_site_label
_atom_site_fract_x
_atom_site_fract_y
_atom_site_fract_z
Be1 0.000 0.000 0.000
Be2 0.500 0.500 0.208
P1 0.500 0.500 0.762
Os1 0.000 0.000 0.494
```



The following is a PBE-GGA calculation of an optimized crystal structure of LiYAu2, from the Alexandria database.

## Properties
Excess energy over the best structure of this formula in the dataset (eV per formula unit): 1.64
Electronic total energy (eV/cell): -64.7
Calculated volume (A^3/atom): 24.13
Formation energy (eV/atom): -0.310
Theoretical density (kg/m³): 8427

CIF file:
```
data_LiYAu2
_chemical_formula_sum 'Li4 Y4 Au8'
_space_group_name_H-M_alt 'I -4 2 d'
_space_group_IT_number 122
_space_group_name_Hall 'I -4 2bw'
_cell_length_a 4.899
_cell_length_b 4.899
_cell_length_c 16.085
_cell_angle_alpha 90.00
_cell_angle_beta 90.00
_cell_angle_gamma 90.00
loop_
_atom_site_label
_atom_site_fract_x
_atom_site_fract_y
_atom_site_fract_z
Li1 0.000 0.000 0.000
Y1 0.000 0.000 0.500
Au1 0.147 0.250 0.125
```



The following is a PBE-GGA calculation of an optimized crystal structure of Tm2Ge4Pd3, from the Alexandria database.

## Properties
Electronic total energy (eV/cell): -197.9
Calculated volume (A^3/atom): 18.04
Formation energy (eV/atom): -0.721
Theoretical density (kg/m³): 9693

CIF file:
```
data_Tm2Ge4Pd3
_chemical_formula_sum 'Tm8 Ge16 Pd12'
_space_group_name_H-M_alt 'C m c e'
_space_group_IT_number 64
_space_group_name_Hall '-C 2ac 2'
_cell_length_a 5.797
_cell_length_b 14.952
_cell_length_c 7.492
_cell_angle_alpha 90.00
_cell_angle_beta 90.00
_cell_angle_gamma 90.00
loop_
_atom_site_label
_atom_site_fract_x
_atom_site_fract_y
_atom_site_fract_z
Tm1 0.000 0.108 0.089
Ge1 0.000 0.179 0.471
Ge2 0.250 0.058 0.750
Pd1 0.000 0.000 0.500
Pd2 0.250 0.228 0.750
```



The following is a PBE-GGA calculation of an optimized crystal structure of YScTl2Cu, from the Alexandria database.

## Properties
Electronic total energy (eV/cell): -16.1
Calculated volume (A^3/atom): 36.29
Formation energy (eV/atom): 1.111
Theoretical density (kg/m³): 5547

CIF file:
```
data_YScTl2Cu
_chemical_formula_sum 'Y1 Sc1 Tl2 Cu1'
_space_group_name_H-M_alt 'P 4/m m m'
_space_group_IT_number 123
_space_group_name_Hall '-P 4 2'
_cell_length_a 5.821
_cell_length_b 5.821
_cell_length_c 5.356
_cell_angle_alpha 90.00
_cell_angle_beta 90.00
_cell_angle_gamma 90.00
loop_
_atom_site_label
_atom_site_fract_x
_atom_site_fract_y
_atom_site_fract_z
Y1 0.000 0.000 0.000
Sc1 0.000 0.000 0.500
Tl1 0.000 0.500 0.000
Cu1 0.500 0.500 0.500
```



The following is a PBE-GGA calculation of an optimized crystal structure of CsK2NaI4, from the Alexandria database.

## Properties
Electronic total energy (eV/cell): -87.7
Calculated volume (A^3/atom): 49.15
Uncorrected formation energy (meV/atom): -1418.1
Theoretical density (kg/m³): 3133

CIF file:
```
data_CsK2NaI4
_chemical_formula_sum 'Cs4 K8 Na4 I16'
_space_group_name_H-M_alt 'C m c m'
_space_group_IT_number 63
_space_group_name_Hall '-C 2c 2'
_cell_length_a 5.146
_cell_length_b 17.333
_cell_length_c 17.631
_cell_angle_alpha 90.00
_cell_angle_beta 90.00
_cell_angle_gamma 90.00
loop_
_atom_site_label
_atom_site_fract_x
_atom_site_fract_y
_atom_site_fract_z
Cs1 0.000 0.124 0.250
K1 0.000 0.370 0.049
Na1 0.000 0.147 0.750
I1 0.000 0.000 0.000
I2 0.000 0.261 0.620
I3 0.000 0.449 0.250
```